No. 1
First-principles (SCAN) data for a crystal of TiRuN2O relaxed with PBEsol, as listed in Alexandria.

Unit cell a=3.741 b=3.741 c=3.869 alpha=90.00 beta=90.00 gamma=90.00
Positions (direct):
Ti: 0.000 0.000 0.000
Ru: 0.500 0.500 0.500
N: 0.000 0.500 0.500
N: 0.500 0.000 0.500
O: 0.500 0.500 0.000

## Properties
- ΔE_f (raw): -0.002 eV/atom
- D(E_F): 0.51 states/eV per atom
- Total magnetization: 1.04 μB per formula unit

=====

No. 2
First-principles (SCAN) data for a crystal of TiRuN2O relaxed with PBEsol, as listed in Alexandria.

Unit cell a=3.917 b=3.917 c=3.658 alpha=90.00 beta=90.00 gamma=90.00
Positions (direct):
Ti: 0.000 0.000 0.000
Ru: 0.500 0.500 0.500
N: 0.000 0.500 0.000
N: 0.500 0.000 0.000
O: 0.000 0.000 0.500

## Properties
- ΔE_f (raw): 0.112 eV/atom
- D(E_F): 0.71 states/eV per atom
- Total magnetization: 3.12 μB per formula unit

=====

No. 3
First-principles (SCAN) data for a crystal of YRuNO2 relaxed with PBEsol, as listed in Alexandria.

Unit cell a=3.935 b=3.935 c=3.719 alpha=90.00 beta=90.00 gamma=90.00
Positions (direct):
Y: 0.000 0.000 0.000
Ru: 0.500 0.500 0.500
N: 0.500 0.500 0.000
O: 0.000 0.500 0.500
O: 0.500 0.000 0.500

## Properties
- ΔE_f (raw): -1.502 eV/atom
- D(E_F): 0.42 states/eV per atom
- Total magnetization: 0.00 μB per formula unit

=====

No. 4
First-principles (SCAN) data for a crystal of ZrRuN2O relaxed with PBEsol, as listed in Alexandria.

Unit cell a=4.170 b=4.170 c=3.968 alpha=90.00 beta=90.00 gamma=90.00
Positions (direct):
Zr: 0.000 0.000 0.000
Ru: 0.500 0.500 0.500
N: 0.000 0.500 0.000
N: 0.500 0.000 0.000
O: 0.000 0.000 0.500

## Properties
- ΔE_f (raw): 0.241 eV/atom
- D(E_F): 0.51 states/eV per atom
- Total magnetization: 5.95 μB per formula unit

=====

No. 5
First-principles (SCAN) data for a crystal of ZrRuN2O relaxed with PBEsol, as listed in Alexandria.

Unit cell a=3.777 b=3.777 c=3.844 alpha=90.00 beta=90.00 gamma=90.00
Positions (direct):
Zr: 0.000 0.000 0.000
Ru: 0.500 0.500 0.500
N: 0.000 0.500 0.500
N: 0.500 0.000 0.500
O: 0.500 0.500 0.000

## Properties
- ΔE_f (raw): -0.389 eV/atom
- D(E_F): 0.54 states/eV per atom
- Total magnetization: 0.00 μB per formula unit

=====

No. 6
First-principles (SCAN) data for a crystal of SbSN2O relaxed with PBEsol, as listed in Alexandria.

Unit cell a=3.766 b=3.766 c=3.621 alpha=90.00 beta=90.00 gamma=90.00
Positions (direct):
Sb: 0.000 0.000 0.000
S: 0.500 0.500 0.500
N: 0.000 0.500 0.500
N: 0.500 0.000 0.500
O: 0.500 0.500 0.000

## Properties
- ΔE_f (raw): 1.039 eV/atom
- D(E_F): 0.30 states/eV per atom
- Total magnetization: 0.00 μB per formula unit

=====

No. 7
First-principles (SCAN) data for a crystal of SbSN2O relaxed with PBEsol, as listed in Alexandria.

Unit cell a=4.049 b=4.049 c=5.043 alpha=90.00 beta=90.00 gamma=90.00
Positions (direct):
Sb: 0.000 0.000 0.000
S: 0.000 0.000 0.500
N: 0.000 0.500 0.000
N: 0.500 0.000 0.000
O: 0.500 0.500 0.500

## Properties
- ΔE_f (raw): 1.812 eV/atom
- D(E_F): 0.38 states/eV per atom
- Total magnetization: 5.18 μB per formula unit

=====

No. 8
First-principles (SCAN) data for a crystal of ScS2NO relaxed with PBEsol, as listed in Alexandria.

Unit cell a=4.094 b=4.094 c=3.786 alpha=90.00 beta=90.00 gamma=90.00
Positions (direct):
Sc: 0.000 0.000 0.000
S: 0.000 0.500 0.500
S: 0.500 0.000 0.500
N: 0.500 0.500 0.000
O: 0.500 0.500 0.500

## Properties
- ΔE_f (raw): 0.330 eV/atom
- D(E_F): 0.26 states/eV per atom
- Total magnetization: 0.00 μB per formula unit

=====

No. 9
First-principles (SCAN) data for a crystal of SnSNO2 relaxed with PBEsol, as listed in Alexandria.

Unit cell a=3.628 b=3.628 c=4.151 alpha=90.00 beta=90.00 gamma=90.00
Positions (direct):
Sn: 0.000 0.000 0.000
S: 0.500 0.500 0.500
N: 0.500 0.500 0.000
O: 0.000 0.500 0.500
O: 0.500 0.000 0.500

## Properties
- ΔE_f (raw): 0.317 eV/atom
- D(E_F): 0.34 states/eV per atom
- Total magnetization: 0.00 μB per formula unit

=====

No. 10
First-principles (SCAN) data for a crystal of WSNO2 relaxed with PBEsol, as listed in Alexandria.

Unit cell a=3.220 b=3.220 c=5.585 alpha=90.00 beta=90.00 gamma=90.00
Positions (direct):
W: 0.000 0.000 0.000
S: 0.500 0.500 0.500
N: 0.500 0.500 0.000
O: 0.000 0.500 0.500
O: 0.500 0.000 0.500

## Properties
- ΔE_f (raw): 0.929 eV/atom
- D(E_F): 0.36 states/eV per atom
- Total magnetization: 2.74 μB per formula unit

=====

No. 11
First-principles (SCAN) data for a crystal of ZnS2NO relaxed with PBEsol, as listed in Alexandria.

Unit cell a=4.648 b=4.648 c=3.753 alpha=90.00 beta=90.00 gamma=90.00
Positions (direct):
Zn: 0.000 0.000 0.000
S: 0.000 0.500 0.000
S: 0.500 0.000 0.000
N: 0.000 0.000 0.500
O: 0.500 0.500 0.500

## Properties
- ΔE_f (raw): 1.556 eV/atom
- D(E_F): 0.71 states/eV per atom
- Total magnetization: 5.90 μB per formula unit

=====

No. 12
First-principles (SCAN) data for a crystal of SiSbN2O relaxed with PBEsol, as listed in Alexandria.

Unit cell a=3.738 b=3.738 c=3.504 alpha=90.00 beta=90.00 gamma=90.00
Positions (direct):
Si: 0.000 0.000 0.000
Sb: 0.500 0.500 0.500
N: 0.000 0.500 0.000
N: 0.500 0.000 0.000
O: 0.000 0.000 0.500

## Properties
- ΔE_f (raw): -0.261 eV/atom
- D(E_F): 0.44 states/eV per atom
- Total magnetization: 0.00 μB per formula unit

=====

No. 13
First-principles (SCAN) data for a crystal of SnSbNO2 relaxed with PBEsol, as listed in Alexandria.

Unit cell a=3.984 b=3.984 c=4.189 alpha=90.00 beta=90.00 gamma=90.00
Positions (direct):
Sn: 0.000 0.000 0.000
Sb: 0.500 0.500 0.500
N: 0.000 0.000 0.500
O: 0.000 0.500 0.000
O: 0.500 0.000 0.000

## Properties
- ΔE_f (raw): -0.288 eV/atom
- D(E_F): 0.03 states/eV per atom
- Total magnetization: 0.00 μB per formula unit

=====

No. 14
First-principles (SCAN) data for a crystal of SrSbN2O relaxed with PBEsol, as listed in Alexandria.

Unit cell a=4.041 b=4.041 c=4.116 alpha=90.00 beta=90.00 gamma=90.00
Positions (direct):
Sr: 0.000 0.000 0.000
Sb: 0.500 0.500 0.500
N: 0.000 0.500 0.500
N: 0.500 0.000 0.500
O: 0.500 0.500 0.000

## Properties
- ΔE_f (raw): -0.573 eV/atom
- D(E_F): 0.54 states/eV per atom
- Total magnetization: 0.00 μB per formula unit

=====

No. 15
First-principles (SCAN) data for a crystal of Sb2TeNO relaxed with PBEsol, as listed in Alexandria.

Unit cell a=4.687 b=4.687 c=4.709 alpha=90.00 beta=90.00 gamma=90.00
Positions (direct):
Sb: 0.000 0.500 0.000
Sb: 0.500 0.000 0.000
Te: 0.000 0.000 0.500
N: 0.500 0.500 0.500
O: 0.000 0.000 0.000

## Properties
- ΔE_f (raw): 1.096 eV/atom
- D(E_F): 0.68 states/eV per atom
- Total magnetization: 2.15 μB per formula unit

=====

No. 16
First-principles (SCAN) data for a crystal of Th2SbNO relaxed with PBEsol, as listed in Alexandria.

Unit cell a=4.015 b=4.015 c=12.737 alpha=90.00 beta=90.00 gamma=90.00
Positions (direct):
Th: 0.000 0.000 0.154
Th: 0.000 0.000 0.846
Th: 0.500 0.500 0.346
Th: 0.500 0.500 0.654
Sb: 0.000 0.000 0.500
Sb: 0.500 0.500 0.000
N: 0.000 0.500 0.250
N: 0.500 0.000 0.750
O: 0.000 0.500 0.750
O: 0.500 0.000 0.250

## Properties
- ΔE_f (raw): -2.386 eV/atom
- Total magnetization: 0.00 μB per formula unit

=====

No. 17
First-principles (SCAN) data for a crystal of TiSbNO2 relaxed with PBEsol, as listed in Alexandria.

Unit cell a=3.926 b=3.926 c=4.027 alpha=90.00 beta=90.00 gamma=90.00
Positions (direct):
Ti: 0.000 0.000 0.000
Sb: 0.500 0.500 0.500
N: 0.500 0.500 0.000
O: 0.000 0.500 0.500
O: 0.500 0.000 0.500

## Properties
- ΔE_f (raw): -0.544 eV/atom
- D(E_F): 0.78 states/eV per atom
- Total magnetization: 1.87 μB per formula unit

=====

No. 18
First-principles (SCAN) data for a crystal of TlSbNO2 relaxed with PBEsol, as listed in Alexandria.

Unit cell a=3.948 b=3.948 c=4.245 alpha=90.00 beta=90.00 gamma=90.00
Positions (direct):
Tl: 0.000 0.000 0.000
Sb: 0.500 0.500 0.500
N: 0.500 0.500 0.000
O: 0.000 0.500 0.500
O: 0.500 0.000 0.500

## Properties
- ΔE_f (raw): -0.329 eV/atom
- D(E_F): 0.23 states/eV per atom
- Total magnetization: 0.00 μB per formula unit

=====

No. 19
First-principles (SCAN) data for a crystal of TlSbNO2 relaxed with PBEsol, as listed in Alexandria.

Unit cell a=4.144 b=4.144 c=4.252 alpha=90.00 beta=90.00 gamma=90.00
Positions (direct):
Tl: 0.000 0.000 0.000
Sb: 0.500 0.500 0.500
N: 0.000 0.000 0.500
O: 0.000 0.500 0.000
O: 0.500 0.000 0.000

## Properties
- ΔE_f (raw): 0.716 eV/atom
- D(E_F): 0.25 states/eV per atom
- Total magnetization: 0.00 μB per formula unit

=====

No. 20
First-principles (SCAN) data for a crystal of YSbN2O relaxed with PBEsol, as listed in Alexandria.

Unit cell a=4.014 b=4.014 c=3.932 alpha=90.00 beta=90.00 gamma=90.00
Positions (direct):
Y: 0.000 0.000 0.000
Sb: 0.500 0.500 0.500
N: 0.000 0.500 0.500
N: 0.500 0.000 0.500
O: 0.500 0.500 0.000

## Properties
- ΔE_f (raw): -0.857 eV/atom
- D(E_F): 0.06 states/eV per atom
- Total magnetization: 0.00 μB per formula unit

=====

No. 21
First-principles (SCAN) data for a crystal of ZrSbNO2 relaxed with PBEsol, as listed in Alexandria.

Unit cell a=4.017 b=4.017 c=4.386 alpha=90.00 beta=90.00 gamma=90.00
Positions (direct):
Zr: 0.000 0.000 0.000
Sb: 0.500 0.500 0.500
N: 0.000 0.000 0.500
O: 0.000 0.500 0.000
O: 0.500 0.000 0.000

## Properties
- ΔE_f (raw): -1.346 eV/atom
- D(E_F): 0.08 states/eV per atom
- Total magnetization: 0.00 μB per formula unit

=====

No. 22
First-principles (SCAN) data for a crystal of Sc6N2O5 relaxed with PBEsol, as listed in Alexandria.

Unit cell a=5.396 b=5.399 c=5.403 alpha=99.81 beta=99.89 gamma=99.70
Positions (direct):
Sc: 0.000 0.000 0.000
Sc: 0.125 0.569 0.281
Sc: 0.281 0.153 0.584
Sc: 0.411 0.698 0.872
Sc: 0.566 0.280 0.156
Sc: 0.700 0.863 0.448
N: 0.220 0.349 0.947
N: 0.349 0.926 0.225
O: 0.070 0.802 0.644
O: 0.475 0.507 0.503
O: 0.624 0.051 0.801
O: 0.768 0.652 0.103
O: 0.924 0.200 0.349

## Properties
- ΔE_f (raw): -3.148 eV/atom
- D(E_F): 0.24 states/eV per atom
- Total magnetization: 0.00 μB per formula unit

=====

No. 23
First-principles (SCAN) data for a crystal of SrScNO2 relaxed with PBEsol, as listed in Alexandria.

Unit cell a=4.293 b=4.293 c=4.352 alpha=90.00 beta=90.00 gamma=90.00
Positions (direct):
Sr: 0.000 0.000 0.000
Sc: 0.500 0.500 0.500
N: 0.000 0.000 0.500
O: 0.000 0.500 0.000
O: 0.500 0.000 0.000

## Properties
- ΔE_f (raw): -0.254 eV/atom
- D(E_F): 0.18 states/eV per atom
- Total magnetization: 1.18 μB per formula unit

=====

No. 24
First-principles (SCAN) data for a crystal of ScTa2NO relaxed with PBEsol, as listed in Alexandria.

Unit cell a=4.779 b=4.779 c=3.787 alpha=90.00 beta=90.00 gamma=90.00
Positions (direct):
Sc: 0.000 0.000 0.000
Ta: 0.000 0.500 0.000
Ta: 0.500 0.000 0.000
N: 0.000 0.000 0.500
O: 0.500 0.500 0.500

## Properties
- ΔE_f (raw): 2.089 eV/atom
- D(E_F): 0.93 states/eV per atom
- Total magnetization: 0.00 μB per formula unit

=====

No. 25
First-principles (SCAN) data for a crystal of ScTcN2O relaxed with PBEsol, as listed in Alexandria.

Unit cell a=3.821 b=3.821 c=3.797 alpha=90.00 beta=90.00 gamma=90.00
Positions (direct):
Sc: 0.000 0.000 0.000
Tc: 0.500 0.500 0.500
N: 0.000 0.500 0.500
N: 0.500 0.000 0.500
O: 0.500 0.500 0.000

## Properties
- ΔE_f (raw): -0.842 eV/atom
- D(E_F): 0.41 states/eV per atom
- Total magnetization: 0.00 μB per formula unit

=====

No. 26
First-principles (SCAN) data for a crystal of ScTe2NO relaxed with PBEsol, as listed in Alexandria.

Unit cell a=4.589 b=4.589 c=4.053 alpha=90.00 beta=90.00 gamma=90.00
Positions (direct):
Sc: 0.000 0.000 0.000
Te: 0.000 0.500 0.500
Te: 0.500 0.000 0.500
N: 0.500 0.500 0.000
O: 0.500 0.500 0.500

## Properties
- ΔE_f (raw): 0.421 eV/atom
- D(E_F): 0.42 states/eV per atom
- Total magnetization: 0.99 μB per formula unit

=====

No. 27
First-principles (SCAN) data for a crystal of ScTeNO2 relaxed with PBEsol, as listed in Alexandria.

Unit cell a=3.937 b=3.937 c=4.271 alpha=90.00 beta=90.00 gamma=90.00
Positions (direct):
Sc: 0.000 0.000 0.000
Te: 0.500 0.500 0.500
N: 0.000 0.000 0.500
O: 0.000 0.500 0.000
O: 0.500 0.000 0.000

## Properties
- ΔE_f (raw): -0.776 eV/atom
- D(E_F): 0.29 states/eV per atom
- Total magnetization: 0.25 μB per formula unit

=====

No. 28
First-principles (SCAN) data for a crystal of ScZnNO2 relaxed with PBEsol, as listed in Alexandria.

Unit cell a=3.982 b=3.982 c=4.191 alpha=90.00 beta=90.00 gamma=90.00
Positions (direct):
Sc: 0.000 0.000 0.000
Zn: 0.500 0.500 0.500
N: 0.000 0.000 0.500
O: 0.000 0.500 0.000
O: 0.500 0.000 0.000

## Properties
- ΔE_f (raw): -0.695 eV/atom
- D(E_F): 0.23 states/eV per atom
- Total magnetization: 2.03 μB per formula unit